## Li4SnS4 (PBE)

Data for crystalline Li4SnS4 at its relaxed geometry.

Calculated values
Its energy above the most stable polymorph in this dataset is 0 meV/atom. As for the total moment: 0.000 Bohr magnetons per cell. The value obtained for the uncorrected formation energy is -1.052 eV/atom. For the density of states at the Fermi level, the calculation gives 0.00 states/eV/atom. The calculation puts the total energy at -150.56 eV/cell. The value obtained for the mass density is 2.51 g/cm3.

a b c (Å): 6.373 7.946 14.346
angles (deg): 90.00 90.00 90.00
Fractional coordinates of all 36 atoms:
Sn 0.356 0.750 0.091
Sn 0.644 0.250 0.909
Sn 0.144 0.750 0.591
Sn 0.856 0.250 0.409
Li 0.500 0.000 0.500
Li 0.820 0.504 0.177
Li 0.820 0.996 0.177
Li 0.180 0.004 0.823
Li 0.680 0.996 0.677
Li 0.371 0.250 0.090
Li 0.680 0.504 0.677
Li 0.000 0.500 0.000
Li 0.000 0.000 0.000
Li 0.320 0.496 0.323
Li 0.180 0.496 0.823
Li 0.871 0.750 0.410
Li 0.500 0.500 0.500
Li 0.320 0.004 0.323
Li 0.629 0.750 0.910
Li 0.129 0.250 0.590
S 0.712 0.999 0.340
S 0.212 0.001 0.160
S 0.712 0.501 0.340
S 0.212 0.499 0.160
S 0.288 0.499 0.660
S 0.235 0.750 0.930
S 0.765 0.250 0.070
S 0.788 0.999 0.840
S 0.735 0.750 0.082
S 0.288 0.001 0.660
S 0.265 0.250 0.918
S 0.765 0.750 0.582
S 0.235 0.250 0.418
S 0.265 0.750 0.430
S 0.788 0.501 0.840
S 0.735 0.250 0.570